Compound: MgFePd2I
Source: Alexandria
Functional: PBE-GGA
Structure: relaxed

abc: 4.7530 4.7530 4.8322
angles: 90.00 90.00 90.00
Space group P4/mmm (No. 123)
One atom of each set of equivalent atoms:
Mg  0.0000  0.0000  0.0000
Fe  0.0000  0.0000  0.5000
Pd  0.0000  0.5000  0.0000
I  0.5000  0.5000  0.5000

The uncorrected formation energy is 0.7855 eV per atom. The uncorrected energy is -3.6131 eV/atom. The density of states at the Fermi level comes out at 4.0 states/eV/f.u.

Compound: MgFe2SnI
Source: Alexandria
Functional: PBE-GGA
Structure: relaxed

abc: 4.9530 4.9530 6.3717
angles: 90.00 90.00 90.00
Space group P4/mmm (No. 123)
One atom of each set of equivalent atoms:
Mg  0.0000  0.0000  0.0000
Fe  0.0000  0.5000  0.5000
Sn  0.5000  0.5000  0.5000
I  0.5000  0.5000  0.0000

The uncorrected formation energy is 1.0294 eV per atom. The uncorrected energy is -3.7851 eV/atom. The density of states at the Fermi level comes out at 12.9 states/eV/f.u.

Compound: MgFeTe2I
Source: Alexandria
Functional: PBE-GGA
Structure: relaxed

abc: 4.9933 4.9933 5.6057
angles: 90.00 90.00 90.00
Space group P4/mmm (No. 123)
One atom of each set of equivalent atoms:
Mg  0.0000  0.0000  0.0000
Fe  0.5000  0.5000  0.5000
Te  0.0000  0.5000  0.5000
I  0.5000  0.5000  0.0000

The uncorrected formation energy is 0.2961 eV per atom. For the energy above the lowest structure with this stoichiometry, the calculation gives 0.00 eV/f.u. The uncorrected energy is -3.2821 eV/atom. The density of states at the Fermi level comes out at 8.9 states/eV/f.u.